# 1
4
Lattice="-2.703 0.829 1.950 -1.328 -2.311 2.166 5.039 2.813 8.814" Properties=species:S:1:pos:R:3 comment="Dy2MgFe GGA-PBE relaxed" relative_energy_mev_per_atom=330 volume_a3_per_atom=26.43 spacegroup="R-3m (166)" delta_e_f_ev_per_atom=0.327 pbc="T T T"
Mg 0.000 0.000 0.000
Dy 2.983 1.748 6.417
Dy -1.975 -0.417 6.513
Fe 0.504 0.666 6.465

# 2
5
Lattice="-2.995 -2.858 0.091 2.267 -2.315 1.947 -3.460 3.780 4.852" Properties=species:S:1:pos:R:3 comment="Dy2MgFe2 GGA-PBE relaxed" volume_a3_per_atom=21.29 spacegroup="Cmmm (65)" delta_e_f_ev_per_atom=-0.040 pbc="T T T"
Dy -3.168 0.454 4.228
Fe -0.998 1.126 2.500
Dy -1.020 -1.847 2.661
Fe -0.194 0.340 4.299
Mg 0.000 0.000 0.000

# 3
18
Lattice="-2.339 -1.161 6.617 -1.590 -6.830 -1.760 6.983 -3.106 5.748" Properties=species:S:1:pos:R:3 comment="Dy5Mg2Fe2 GGA-PBE relaxed" volume_a3_per_atom=25.37 spacegroup="Cmce (64)" delta_e_f_ev_per_atom=0.004 pbc="T T T"
Dy -0.560 -3.662 5.388
Fe -2.344 -6.550 1.053
Dy -1.054 -6.927 3.656
Mg 1.832 -5.171 3.564
Dy 0.000 0.000 0.000
Dy 4.108 -4.169 6.949
Dy 0.813 -2.206 2.305
Mg 1.457 -2.337 7.753
Fe -1.585 -1.441 3.805
Fe -0.866 -2.796 -0.002
Dy 3.615 -7.435 5.218
Fe -3.063 -5.195 4.860
Dy 2.241 -8.891 8.301
Mg 3.187 -1.930 4.612
Dy 0.319 -5.471 0.573
Dy -1.965 -3.995 2.429
Dy 2.735 -5.626 10.032
Mg 1.223 -5.925 7.041

# 4
19
Lattice="-6.090 -2.427 -5.287 4.862 -6.608 1.905 -3.454 3.068 7.042" Properties=species:S:1:pos:R:3 comment="Dy12MgFe6 GGA-PBE relaxed" volume_a3_per_atom=24.21 spacegroup="Im-3 (204)" delta_e_f_ev_per_atom=-0.017 pbc="T T T"
Fe -0.064 -5.901 1.805
Dy -0.893 -2.349 6.599
Mg 0.000 0.000 0.000
Dy -4.589 -2.551 2.919
Fe -3.026 -1.520 5.160
Fe -5.252 -3.210 -0.444
Fe 0.570 -2.757 4.104
Dy -0.093 -3.417 0.741
Dy 2.230 -4.639 3.099
Dy -3.229 -5.027 0.621
Dy -0.582 -7.011 -0.604
Fe -1.657 -4.448 -1.499
Dy -4.101 1.044 4.264
Fe -4.618 -0.066 1.855
Dy -1.453 -0.940 3.039
Dy -1.567 -4.384 3.797
Dy -6.912 -1.329 0.561
Dy -3.115 -1.584 -0.137
Dy -3.789 -3.619 -2.939

# 5
20
Lattice="-0.600 -0.076 3.484 -8.819 -1.215 -1.544 2.231 -16.237 0.032" Properties=species:S:1:pos:R:3 comment="Dy3MgFe GGA-PBE relaxed" relative_energy_mev_per_atom=0 volume_a3_per_atom=26.18 spacegroup="Pnma (62)" delta_e_f_ev_per_atom=-0.006 pbc="T T T"
Dy -6.341 -9.168 1.402
Dy -0.530 -2.504 0.752
Dy -0.823 -16.625 2.190
Dy -6.736 -4.038 1.445
Fe -8.744 -1.765 1.149
Dy -6.657 -15.023 1.221
Fe -3.371 -8.166 1.935
Dy -0.451 -13.489 0.527
Dy -6.364 -0.903 -0.217
Dy -2.707 -11.073 1.986
Mg -3.732 -3.167 0.187
Dy -0.847 -8.360 0.570
Fe 1.557 -15.763 0.823
Mg -3.456 -14.361 1.786
Fe -3.816 -9.362 0.038
Dy -2.051 -5.434 2.221
Mg 0.554 -10.845 2.552
Dy -5.136 -12.094 -0.249
Mg -7.741 -6.682 -0.579
Dy -4.480 -6.455 -0.013

# 6
10
Lattice="4.724 0.225 -1.811 -3.206 3.590 -0.597 1.619 0.123 6.694" Properties=species:S:1:pos:R:3 comment="DyMn6Fe3 GGA-PBE relaxed" volume_a3_per_atom=12.97 spacegroup="P1 (1)" delta_e_f_ev_per_atom=0.147 pbc="T T T"
Mn 2.132 2.596 0.985
Fe 1.654 1.651 -1.214
Fe 1.349 0.220 1.356
Mn 3.691 0.538 0.446
Dy 2.422 3.894 3.689
Mn -0.210 2.179 1.236
Mn 1.114 1.354 3.457
Mn 3.490 1.301 2.602
Fe 0.460 2.750 5.523
Mn -0.423 3.210 3.348

Q: Number 2 is which compound?
A: Dy2MgFe2

Copy entry 6 word for word.
10
Lattice="4.724 0.225 -1.811 -3.206 3.590 -0.597 1.619 0.123 6.694" Properties=species:S:1:pos:R:3 comment="DyMn6Fe3 GGA-PBE relaxed" volume_a3_per_atom=12.97 spacegroup="P1 (1)" delta_e_f_ev_per_atom=0.147 pbc="T T T"
Mn 2.132 2.596 0.985
Fe 1.654 1.651 -1.214
Fe 1.349 0.220 1.356
Mn 3.691 0.538 0.446
Dy 2.422 3.894 3.689
Mn -0.210 2.179 1.236
Mn 1.114 1.354 3.457
Mn 3.490 1.301 2.602
Fe 0.460 2.750 5.523
Mn -0.423 3.210 3.348